1.
Density functional theory data (PBE) for a relaxed structure of Ho6Cd2Hg.

a b c (Å): 9.9253 9.9253 5.0904
angles (deg): 90.00 90.00 90.00
Closest atoms and distances in Å follow each position.
Space group P4_2/mnm (No. 136)
Asymmetric unit:
Ho  0.0166  0.3240  0.0000 x8  3 Cd 3.16-3.36, 1 Hg 3.22, 3 Ho 3.51
Ho  0.1258  0.8742  0.5000 x4  2 Hg 3.10, 2 Cd 3.31
Cd  0.1992  0.1992  0.5000 x4  10 Ho 3.16-3.54
Hg  0.0000  0.0000  0.0000 x2  8 Ho 3.10-3.22

***

2.
Density functional theory data (PBE) for a relaxed structure of HoCd5Hg6.

As for the relative energy among the computed polymorphs: 0.000 eV/atom.

a b c (Å): 8.9607 15.7080 4.7876
angles (deg): 90.00 121.72 90.00
Closest atoms and distances in Å follow each position.
Space group C2/m (No. 12)
Asymmetric unit:
Ho  0.0000  0.0000  0.0000 x2  8 Hg 3.10-3.19
Cd  0.0000  0.1664  0.5000 x4  8 Hg 3.08-3.29, 2 Cd 3.38
Cd  0.0000  0.3187  0.0000 x4  8 Hg 3.03-3.38, 2 Cd 3.38
Cd  0.0000  0.5000  0.5000 x2  8 Hg 2.99-3.14
Hg  0.2385  0.5000  0.2391 x4  4 Cd 2.99-3.29, 2 Ho 3.10-3.13
Hg  0.2443  0.3393  0.7459 x8  7 Cd 3.03-3.29, 1 Ho 3.19

***

Uncorrected energy (computed, eV for the cell shown): -62.70 -24.27
Calculated formation energy (computed, eV per formula unit): -1.752 -1.170